Density functional theory data (GGA-PBE) for a geometry-optimized Hf2Sc2Mn structure. Values from VASP.

ΔE to the lowest computed polymorph: 0.604 eV/atom
calculated volume: 21.07 Å³ per atom
energy relative to the elements: 810 meV per atom
symmetry: I4/mmm

Structure (Quantum ESPRESSO input):
```
&SYSTEM
  ibrav = 0, nat = 10, ntyp = 3
/
ATOMIC_SPECIES
Hf 178.49 Hf.upf
Sc 44.96 Sc.upf
Mn 54.94 Mn.upf
ATOMIC_POSITIONS crystal
Hf 0.000 0.000 0.084
Hf 0.000 0.000 0.916
Hf 0.500 0.500 0.416
Hf 0.500 0.500 0.584
Sc 0.000 0.500 0.250
Sc 0.000 0.500 0.750
Sc 0.500 0.000 0.250
Sc 0.500 0.000 0.750
Mn 0.000 0.000 0.500
Mn 0.500 0.500 0.000
CELL_PARAMETERS angstrom
3.549 0.000 0.000
0.000 3.549 0.000
0.000 0.000 16.731
```